No. 1
The following is a DFT calculation (PBE) of a geometry-optimized Li2NiPdAu structure.

Lattice parameters (Å, degrees): 4.439 4.439 4.680 90.00 90.00 90.00
Positions (direct):
Li 0.000 0.500 0.000
Li 0.500 0.000 0.000
Ni 0.000 0.000 0.500
Pd 0.000 0.000 0.000
Au 0.500 0.500 0.500

- spin magnetization (μB per cell) = 0.9
- space group = No. 123
- ρ (g/cm³) = 6.77
- DFT formation energy (eV/atom) = 0.362
- N(E_F) (states/eV/cell) = 3.230

No. 2
The following is a DFT calculation (PBE) of a geometry-optimized LiPmNiAu structure.

Lattice parameters (Å, degrees): 4.811 4.811 4.811 60.00 60.00 60.00
Positions (direct):
Li 0.000 0.000 0.000
Pm 0.500 0.500 0.500
Ni 0.250 0.250 0.250
Au 0.750 0.750 0.750

- spin magnetization (μB per cell) = 0.0
- space group = No. 216
- ρ (g/cm³) = 8.60
- DFT formation energy (eV/atom) = -0.322
- N(E_F) (states/eV/cell) = 3.163

No. 3
The following is a DFT calculation (PBE) of a geometry-optimized LiPrNiAu structure.

Lattice parameters (Å, degrees): 4.870 4.870 4.870 60.00 60.00 60.00
Positions (direct):
Li 0.000 0.000 0.000
Pr 0.500 0.500 0.500
Ni 0.750 0.750 0.750
Au 0.250 0.250 0.250

- spin magnetization (μB per cell) = 0.0
- space group = No. 216
- ρ (g/cm³) = 8.20
- DFT formation energy (eV/atom) = -0.285
- N(E_F) (states/eV/cell) = 3.223

No. 4
The following is a DFT calculation (PBE) of a geometry-optimized LiNi2PtAu structure.

Lattice parameters (Å, degrees): 4.653 4.653 4.286 90.00 90.00 90.00
Positions (direct):
Li 0.000 0.000 0.000
Ni 0.000 0.500 0.500
Ni 0.500 0.000 0.500
Pt 0.500 0.500 0.000
Au 0.000 0.000 0.500

- spin magnetization (μB per cell) = 1.3
- space group = No. 123
- ρ (g/cm³) = 9.24
- DFT formation energy (eV/atom) = 0.941
- N(E_F) (states/eV/cell) = 7.055

No. 5
The following is a DFT calculation (PBE) of a geometry-optimized LiScNiAu structure.

Lattice parameters (Å, degrees): 4.492 4.492 4.492 60.00 60.00 60.00
Positions (direct):
Li 0.000 0.000 0.000
Sc 0.500 0.500 0.500
Ni 0.250 0.250 0.250
Au 0.750 0.750 0.750

- spin magnetization (μB per cell) = 0.0
- space group = No. 216
- ρ (g/cm³) = 7.97
- DFT formation energy (eV/atom) = -0.431
- N(E_F) (states/eV/cell) = 2.566

No. 6
The following is a DFT calculation (PBE) of a geometry-optimized LiSiNiAu structure.

Lattice parameters (Å, degrees): 4.188 4.188 4.188 60.00 60.00 60.00
Positions (direct):
Li 0.000 0.000 0.000
Si 0.500 0.500 0.500
Ni 0.250 0.250 0.250
Au 0.750 0.750 0.750

- spin magnetization (μB per cell) = 0.0
- space group = No. 216
- ρ (g/cm³) = 9.29
- N(E_F) (states/eV/cell) = 2.729
- formation energy without anion corrections (eV per formula unit) = -1.24

No. 7
The following is a DFT calculation (PBE) of a geometry-optimized LiTaNiAu2 structure.

Lattice parameters (Å, degrees): 4.379 4.379 4.067 90.00 90.00 90.00
Positions (direct):
Li 0.000 0.000 0.000
Ta 0.500 0.500 0.500
Ni 0.000 0.000 0.500
Au 0.000 0.500 0.000
Au 0.500 0.000 0.000

- spin magnetization (μB per cell) = 0.0
- space group = No. 123
- ρ (g/cm³) = 13.64
- DFT formation energy (eV/atom) = 0.557
- N(E_F) (states/eV/cell) = 7.485

No. 8
The following is a DFT calculation (PBE) of a geometry-optimized LiTbNiAu structure.

Lattice parameters (Å, degrees): 4.722 4.722 4.722 60.00 60.00 60.00
Positions (direct):
Li 0.000 0.000 0.000
Tb 0.500 0.500 0.500
Ni 0.250 0.250 0.250
Au 0.750 0.750 0.750

- spin magnetization (μB per cell) = 0.0
- space group = No. 216
- ρ (g/cm³) = 9.40
- DFT formation energy (eV/atom) = -0.380
- N(E_F) (states/eV/cell) = 2.825

No. 9
The following is a DFT calculation (PBE) of a geometry-optimized LiThNiAu structure.

Lattice parameters (Å, degrees): 4.853 4.853 4.853 60.00 60.00 60.00
Positions (direct):
Li 0.000 0.000 0.000
Th 0.500 0.500 0.500
Ni 0.750 0.750 0.750
Au 0.250 0.250 0.250

- spin magnetization (μB per cell) = 0.0
- space group = No. 216
- ρ (g/cm³) = 10.16
- DFT formation energy (eV/atom) = -0.315
- N(E_F) (states/eV/cell) = 3.754

No. 10
The following is a DFT calculation (PBE) of a geometry-optimized Li2TiNiAu structure.

Lattice parameters (Å, degrees): 4.336 4.336 4.898 90.00 90.00 90.00
Positions (direct):
Li 0.000 0.500 0.000
Li 0.500 0.000 0.000
Ti 0.000 0.000 0.500
Ni 0.500 0.500 0.500
Au 0.500 0.500 0.000

- spin magnetization (μB per cell) = 0.0
- space group = No. 123
- ρ (g/cm³) = 5.72
- DFT formation energy (eV/atom) = 0.571
- N(E_F) (states/eV/cell) = 8.000

No. 11
The following is a DFT calculation (PBE) of a geometry-optimized Li2Zn5Ni2Au structure.

Lattice parameters (Å, degrees): 8.783 8.783 3.826 90.00 90.00 90.00
Positions (direct):
Li 0.175 0.325 0.000
Li 0.325 0.825 0.000
Li 0.675 0.175 0.000
Li 0.825 0.675 0.000
Zn 0.000 0.500 0.500
Zn 0.076 0.793 0.500
Zn 0.207 0.076 0.500
Zn 0.293 0.576 0.500
Zn 0.424 0.293 0.500
Zn 0.500 0.000 0.500
Zn 0.576 0.707 0.500
Zn 0.707 0.424 0.500
Zn 0.793 0.924 0.500
Zn 0.924 0.207 0.500
Ni 0.117 0.617 0.000
Ni 0.383 0.117 0.000
Ni 0.617 0.883 0.000
Ni 0.883 0.383 0.000
Au 0.000 0.000 0.000
Au 0.500 0.500 0.000

- spin magnetization (μB per cell) = 0.0
- space group = No. 127
- ρ (g/cm³) = 7.37
- DFT formation energy (eV/atom) = -0.186
- N(E_F) (states/eV/cell) = 8.531

No. 12
The following is a DFT calculation (PBE) of a geometry-optimized LiNpAu4 structure.

Lattice parameters (Å, degrees): 2.906 4.944 8.159 90.00 97.24 90.00
Positions (direct):
Li 0.000 0.000 0.000
Np 0.000 0.500 0.500
Au 0.328 0.500 0.152
Au 0.467 0.000 0.321
Au 0.533 0.000 0.679
Au 0.672 0.500 0.848

- spin magnetization (μB per cell) = 4.6
- space group = No. 10
- ΔE to the lowest computed polymorph (meV per atom) = 0.0
- ρ (g/cm³) = 14.73
- DFT formation energy (eV/atom) = -0.291
- N(E_F) (states/eV/cell) = 7.127